# Pb2WBr (PBE-GGA, optimized geometry)
data_Pb2WBr
_space_group_name_H-M_alt 'F -4 3 m'
_space_group_IT_number 216
_space_group_name_Hall 'F -4 2 3'
_cell_length_a 7.444
_cell_length_b 7.444
_cell_length_c 7.444
_cell_angle_alpha 90.00
_cell_angle_beta 90.00
_cell_angle_gamma 90.00
loop_
_atom_site_label
_atom_site_type_symbol
_atom_site_fract_x
_atom_site_fract_y
_atom_site_fract_z
Pb1 Pb 0.000 0.000 0.000
Pb2 Pb 0.250 0.250 0.250
W1 W 0.250 0.250 0.750
Br1 Br 0.000 0.000 0.500
# distance to the lowest polymorph of the same formula = 604 meV per atom
# uncorrected energy = -4.428 eV/atom
# total magnetic moment = 11.84 μB/cell
# formation energy without anion corrections = 1.08 eV/atom